1.
# MnTl2Cl

A relaxed MnTl2Cl crystal (GGA-PBE, the Alexandria database).

## Properties
For the formation energy (no corrections), the calculation gives 0.02 eV per atom. The distance to the lowest polymorph of the same formula comes out at 0.133 eV/atom. The value obtained for the total magnetization is 4.23 μB per cell.

Lattice parameters (Å, degrees): 8.1724 8.1724 8.1724 157.44 149.89 37.95
With the nearest neighbours (Å) after each atom.
Fractional positions:
Mn1 0.0000 0.0000 0.0000  4 Cl 2.66
Tl1 0.1777 0.6777 0.5000  2 Mn 3.18, 6 Tl 3.20-3.47, 2 Cl 3.47
Tl2 0.8223 0.3223 0.5000  2 Mn 3.18, 6 Tl 3.20-3.47, 2 Cl 3.47
Cl1 0.5000 0.5000 0.0000  4 Mn 2.66


2.
# Np2SO9

A relaxed Np2SO9 crystal (GGA-PBE, the Alexandria database).

## Properties
For the formation energy (no corrections), the calculation gives -2.18 eV per atom. The value obtained for the total magnetization is 8.00 μB per cell.

Lattice parameters (Å, degrees): 16.0273 6.9411 6.5963 90.00 90.00 90.00
With the nearest neighbours (Å) after each atom.
Fractional positions:
Np1 0.1036 0.2500 0.1893  2 O 1.83-1.84
Np2 0.1542 0.7500 0.9644  3 O 1.84-1.89
Np3 0.3458 0.2500 0.4644  3 O 1.84-1.89
Np4 0.3964 0.7500 0.6893  2 O 1.83-1.84
Np5 0.6036 0.2500 0.3107  2 O 1.83-1.84
Np6 0.6542 0.7500 0.5356  3 O 1.84-1.89
Np7 0.8458 0.2500 0.0356  3 O 1.84-1.89
Np8 0.8964 0.7500 0.8107  2 O 1.83-1.84
S1 0.0633 0.7500 0.4320  4 O 1.48-1.50
S2 0.4367 0.2500 0.9320  4 O 1.48-1.50
S3 0.5633 0.7500 0.0680  4 O 1.48-1.50
S4 0.9367 0.2500 0.5680  4 O 1.48-1.50
O1 0.0011 0.7500 0.9253  1 Np 1.84
O2 0.0250 0.2500 0.5052  1 S 1.48
O3 0.0806 0.5805 0.2984  1 S 1.50
O4 0.0806 0.9195 0.2984  1 S 1.50
O5 0.1203 0.7500 0.6083  1 S 1.48
O6 0.1483 0.0212 0.9455  1 Np 1.89
O7 0.1483 0.4788 0.9455  1 Np 1.89
O8 0.2093 0.2500 0.2938  1 Np 1.83
O9 0.2315 0.7500 0.1706  1 Np 1.84
O10 0.2685 0.2500 0.6706  1 Np 1.84
O11 0.2907 0.7500 0.7938  1 Np 1.83
O12 0.3517 0.5212 0.4455  1 Np 1.89
O13 0.3517 0.9788 0.4455  1 Np 1.89
O14 0.3797 0.2500 0.1083  1 S 1.48
O15 0.4194 0.0805 0.7984  1 S 1.50
O16 0.4194 0.4195 0.7984  1 S 1.50
O17 0.4750 0.7500 0.0052  1 S 1.48
O18 0.4989 0.2500 0.4253  1 Np 1.84
O19 0.5011 0.7500 0.5747  1 Np 1.84
O20 0.5250 0.2500 0.9948  1 S 1.48
O21 0.5806 0.5805 0.2016  1 S 1.50
O22 0.5806 0.9195 0.2016  1 S 1.50
O23 0.6203 0.7500 0.8917  1 S 1.48
O24 0.6483 0.0212 0.5545  1 Np 1.89
O25 0.6483 0.4788 0.5545  1 Np 1.89
O26 0.7093 0.2500 0.2062  1 Np 1.83
O27 0.7315 0.7500 0.3294  1 Np 1.84
O28 0.7685 0.2500 0.8294  1 Np 1.84
O29 0.7907 0.7500 0.7062  1 Np 1.83
O30 0.8517 0.5212 0.0545  1 Np 1.89
O31 0.8517 0.9788 0.0545  1 Np 1.89
O32 0.8797 0.2500 0.3917  1 S 1.48
O33 0.9194 0.0805 0.7016  1 S 1.50
O34 0.9194 0.4195 0.7016  1 S 1.50
O35 0.9750 0.7500 0.4948  1 S 1.48
O36 0.9989 0.2500 0.0747  1 Np 1.84


What is the formation energy (no corrections) in the second record?
-2.18 eV per atom


formation energy (no corrections) of number 1 (MnTl2Cl)?
0.02 eV per atom


Repeat the first record exactly.
# MnTl2Cl

A relaxed MnTl2Cl crystal (GGA-PBE, the Alexandria database).

## Properties
For the formation energy (no corrections), the calculation gives 0.02 eV per atom. The distance to the lowest polymorph of the same formula comes out at 0.133 eV/atom. The value obtained for the total magnetization is 4.23 μB per cell.

Lattice parameters (Å, degrees): 8.1724 8.1724 8.1724 157.44 149.89 37.95
With the nearest neighbours (Å) after each atom.
Fractional positions:
Mn1 0.0000 0.0000 0.0000  4 Cl 2.66
Tl1 0.1777 0.6777 0.5000  2 Mn 3.18, 6 Tl 3.20-3.47, 2 Cl 3.47
Tl2 0.8223 0.3223 0.5000  2 Mn 3.18, 6 Tl 3.20-3.47, 2 Cl 3.47
Cl1 0.5000 0.5000 0.0000  4 Mn 2.66